# ZrPaTl | Alexandria via LeMat-Bulk | GGA-PBE | relaxed
data_ZrPaTl
_cell_length_a 3.828
_cell_length_b 5.634
_cell_length_c 7.589
_cell_angle_alpha 106.74
_cell_angle_beta 90.01
_cell_angle_gamma 70.15
_space_group_name_H-M_alt 'P 1'
_space_group_IT_number 1
_space_group_name_Hall 'P 1'
loop_
_atom_site_label
_atom_site_fract_x
_atom_site_fract_y
_atom_site_fract_z
Zr1 0.832 0.854 0.203
Zr2 0.499 0.522 0.378
Pa1 0.851 0.816 0.724
Pa2 0.480 0.560 0.857
Tl1 0.181 0.157 0.522
Tl2 0.150 0.219 0.060
# - energy relative to the lowest polymorph listed for this composition (meV/atom) = 37
# - DOS(E_F) (states/eV/f.u.) = 4.32
# - electronic total energy (eV/atom) = -6.735
# - total magnetic moment (μB per cell) = 0.0
# - ΔH_f (0 K) (meV/atom) = 69